No. 1
A plane-wave DFT calculation with GGA-PBE was carried out for a relaxed AlTc2Cl crystal.

The space group is Immm (No. 71) and the conventional cell measures 2.792, 4.959 and 8.831 Å, with angles of 90.00, 90.00 and 90.00 degrees. The inequivalent atoms are Al at (0.000, 0.000, 0.000), Tc at (0.000, 0.500, 0.236) and Cl at (0.000, 0.000, 0.500).

For the size of the total moment, the calculation gives 0.000 μB per atom. For the final energy, the calculation gives -0.45396 Ry per atom. The value obtained for the uncorrected formation energy is 404 meV/atom.

***

No. 2
A plane-wave DFT calculation with GGA-PBE was carried out for a relaxed AlTcCl2 crystal.

The space group is C2/m (No. 12) and the conventional cell measures 5.874, 8.772 and 3.190 Å, with angles of 90.00, 120.05 and 90.00 degrees. The inequivalent atoms are Al at (0.000, 0.000, 0.000), Tc at (0.000, 0.500, 0.000) and Cl at (0.250, 0.250, 0.000).

For the size of the total moment, the calculation gives 0.586 μB per atom. For the final energy, the calculation gives -0.30690 Ry per atom. The value obtained for the uncorrected formation energy is 275 meV/atom.

***

No. 3
A plane-wave DFT calculation with GGA-PBE was carried out for a relaxed AlTcCl2 crystal.

The space group is I-4m2 (No. 119) and the conventional cell measures 3.849, 3.849 and 11.180 Å, with angles of 90.00, 90.00 and 90.00 degrees. The inequivalent atoms are Al at (0.000, 0.000, 0.000), Tc at (0.000, 0.500, 0.250), Cl at (0.000, 0.000, 0.500) and Cl at (0.000, 0.500, 0.750).

For the size of the total moment, the calculation gives 0.927 μB per atom. For the final energy, the calculation gives -0.29099 Ry per atom. The value obtained for the uncorrected formation energy is 491 meV/atom.

***

No. 4
A plane-wave DFT calculation with GGA-PBE was carried out for a relaxed AlTc2Cl crystal.

The space group is F-43m (No. 216) and the conventional cell measures 6.290, 6.290 and 6.290 Å, with angles of 90.00, 90.00 and 90.00 degrees. The inequivalent atoms are Al at (0.000, 0.000, 0.000), Tc at (0.000, 0.000, 0.500), Tc at (0.250, 0.250, 0.750) and Cl at (0.250, 0.250, 0.250).

For the size of the total moment, the calculation gives 0.296 μB per atom. For the final energy, the calculation gives -0.43508 Ry per atom. The value obtained for the uncorrected formation energy is 661 meV/atom.

***

No. 5
A plane-wave DFT calculation with GGA-PBE was carried out for a relaxed AlTc2Cl crystal.

The space group is I-4m2 (No. 119) and the conventional cell measures 4.028, 4.028 and 7.513 Å, with angles of 90.00, 90.00 and 90.00 degrees. The inequivalent atoms are Al at (0.000, 0.000, 0.000), Tc at (0.000, 0.000, 0.500), Tc at (0.000, 0.500, 0.250) and Cl at (0.000, 0.500, 0.750).

For the size of the total moment, the calculation gives 0.000 μB per atom. For the final energy, the calculation gives -0.43952 Ry per atom. The value obtained for the uncorrected formation energy is 600 meV/atom.

***

No. 6
A plane-wave DFT calculation with GGA-PBE was carried out for a relaxed AlTc2Cl crystal.

The space group is Pmmm (No. 47) and the conventional cell measures 2.796, 4.501 and 4.895 Å, with angles of 90.00, 90.00 and 90.00 degrees. The inequivalent atoms are Al at (0.000, 0.000, 0.000), Tc at (0.000, 0.500, 0.500), Tc at (0.500, 0.500, 0.000) and Cl at (0.500, 0.000, 0.500).

For the size of the total moment, the calculation gives 0.008 μB per atom. For the final energy, the calculation gives -0.45037 Ry per atom. The value obtained for the uncorrected formation energy is 453 meV/atom.

***

No. 7
A plane-wave DFT calculation with GGA-PBE was carried out for a relaxed AlTcCl2 crystal.

The space group is Imm2 (No. 44) and the conventional cell measures 3.018, 7.911 and 9.559 Å, with angles of 90.00, 90.00 and 90.00 degrees. The inequivalent atoms are Al at (0.000, 0.000, 0.000), Tc at (0.000, 0.500, 0.718), Cl at (0.000, 0.000, 0.406) and Cl at (0.000, 0.500, 0.310).

For the size of the total moment, the calculation gives 0.489 μB per atom. For the final energy, the calculation gives -0.33400 Ry per atom. The value obtained for the uncorrected formation energy is -94 meV/atom.

***

No. 8
A plane-wave DFT calculation with GGA-PBE was carried out for a relaxed AlTc2Cl crystal.

The space group is Cmmm (No. 65) and the conventional cell measures 2.873, 4.988 and 8.546 Å, with angles of 90.00, 90.00 and 90.00 degrees. The inequivalent atoms are Al at (0.000, 0.000, 0.000), Tc at (0.000, 0.500, 0.251) and Cl at (0.000, 0.000, 0.500).

For the size of the total moment, the calculation gives 0.181 μB per atom. For the final energy, the calculation gives -0.45706 Ry per atom. The value obtained for the uncorrected formation energy is 362 meV/atom.